Entry 1:
MnTc2W | PBE | optimized geometry

Lattice parameters (Å, degrees): 2.6782 4.3007 5.1484 90.00 101.75 90.00
Last column: nearest neighbours and their distance in Å.
Atoms (fractional coordinates):
Mn1 0.0000 0.0000 0.0000  4 Tc 2.58-2.74, 2 W 2.60, 2 Mn 2.68
Tc1 0.4073 0.0000 0.4989  2 Mn 2.58-2.74, 2 W 2.64, 4 Tc 2.68-2.72
Tc2 0.7030 0.5000 0.2426  2 W 2.60-2.70, 4 Tc 2.68-2.72, 2 Mn 2.69
W1 0.1966 0.5000 0.7544  4 Tc 2.60-2.70, 2 Mn 2.60, 2 W 2.68

As for the crystal system: monoclinic. The value obtained for the energy is -10.59 eV/atom.

---

Entry 2:
Mn2TcW | PBE | optimized geometry

Lattice parameters (Å, degrees): 8.7405 8.7405 8.7405 17.96 17.96 17.96
Last column: nearest neighbours and their distance in Å.
Atoms (fractional coordinates):
Mn1 0.2474 0.2474 0.2474  3 Tc 2.61, 3 W 2.72, 6 Mn 2.73
Mn2 0.7526 0.7526 0.7526  3 Tc 2.61, 3 W 2.72, 6 Mn 2.73
Tc1 0.5000 0.5000 0.5000  6 Mn 2.61, 6 Tc 2.73
W1 0.0000 0.0000 0.0000  6 Mn 2.72, 6 W 2.73

As for the crystal system: trigonal. The energy above the most stable polymorph in this dataset is 0.83 eV per formula unit. The value obtained for the energy is -10.14 eV/atom.

---

Entry 3:
MnTc2W | PBE | optimized geometry

Lattice parameters (Å, degrees): 4.3174 4.3174 3.1349 90.00 90.00 90.00
Last column: nearest neighbours and their distance in Å.
Atoms (fractional coordinates):
Mn1 0.0000 0.0000 0.0000  8 Tc 2.67
Tc1 0.0000 0.5000 0.5000  4 W 2.67, 4 Mn 2.67
Tc2 0.5000 0.0000 0.5000  4 W 2.67, 4 Mn 2.67
W1 0.5000 0.5000 0.0000  8 Tc 2.67

As for the crystal system: tetragonal. The value obtained for the energy is -10.72 eV/atom.

---

Entry 4:
MnTcW4 | PBE | optimized geometry

Lattice parameters (Å, degrees): 5.2179 5.2179 5.2179 60.00 60.00 60.00
Last column: nearest neighbours and their distance in Å.
Atoms (fractional coordinates):
Mn1 0.0000 0.0000 0.0000  12 W 3.06, 4 Tc 3.20
Tc1 0.7500 0.7500 0.7500  12 W 3.06, 4 Mn 3.20
W1 0.3744 0.3744 0.3744  6 W 2.60-2.62
W2 0.3744 0.3744 0.8767  6 W 2.60-2.62
W3 0.3744 0.8767 0.3744  6 W 2.60-2.62
W4 0.8767 0.3744 0.3744  6 W 2.60-2.62

As for the crystal system: cubic. The value obtained for the energy is -11.39 eV/atom.

---

Entry 5:
Mn2TcW | PBE | optimized geometry

Lattice parameters (Å, degrees): 4.1615 4.1615 3.1383 90.00 90.00 90.00
Last column: nearest neighbours and their distance in Å.
Atoms (fractional coordinates):
Mn1 0.0000 0.5000 0.0000  4 W 2.61, 4 Tc 2.61
Mn2 0.5000 0.0000 0.0000  4 W 2.61, 4 Tc 2.61
Tc1 0.0000 0.0000 0.5000  8 Mn 2.61
W1 0.5000 0.5000 0.5000  8 Mn 2.61

As for the crystal system: tetragonal. The energy above the most stable polymorph in this dataset is 0.26 eV per formula unit. The value obtained for the energy is -10.28 eV/atom.

---

Entry 6:
MnTc2W | PBE | optimized geometry

Lattice parameters (Å, degrees): 2.6747 2.6747 8.4948 90.00 90.00 108.39
Last column: nearest neighbours and their distance in Å.
Atoms (fractional coordinates):
Mn1 0.0000 0.0000 0.0000  2 Tc 2.52, 2 W 2.60, 4 Mn 2.67
Tc1 0.0000 0.0000 0.5061  6 Tc 2.67-2.71, 2 W 2.72
Tc2 0.5000 0.5000 0.7668  2 Mn 2.52, 6 Tc 2.67-2.71
W1 0.5000 0.5000 0.2442  2 Mn 2.60, 4 W 2.67, 2 Tc 2.72

As for the crystal system: orthorhombic. The value obtained for the energy is -10.55 eV/atom.

---

Entry 7:
MnTcW2 | PBE | optimized geometry

Lattice parameters (Å, degrees): 9.1856 9.1856 9.1856 17.23 17.23 17.23
Last column: nearest neighbours and their distance in Å.
Atoms (fractional coordinates):
Mn1 0.0000 0.0000 0.0000  3 Tc 2.55, 3 W 2.71, 6 Mn 2.75
Tc1 0.2597 0.2597 0.2597  3 Mn 2.55, 6 Tc 2.75, 3 W 2.85
W1 0.5058 0.5058 0.5058  9 W 2.75-2.95, 3 Tc 2.85
W2 0.7474 0.7474 0.7474  3 Mn 2.71, 9 W 2.75-2.95

As for the crystal system: trigonal. The energy above the most stable polymorph in this dataset is 1.00 eV per formula unit. The value obtained for the energy is -11.04 eV/atom.

---

Entry 8:
Mn2TcW | PBE | optimized geometry

Lattice parameters (Å, degrees): 4.2082 4.2082 4.2082 60.00 60.00 60.00
Last column: nearest neighbours and their distance in Å.
Atoms (fractional coordinates):
Mn1 0.2500 0.2500 0.2500  4 W 2.58, 4 Tc 2.58
Mn2 0.7500 0.7500 0.7500  4 W 2.58, 4 Tc 2.58
Tc1 0.0000 0.0000 0.0000  8 Mn 2.58
W1 0.5000 0.5000 0.5000  8 Mn 2.58

As for the crystal system: cubic. The energy above the most stable polymorph in this dataset is 0.60 eV per formula unit. The value obtained for the energy is -10.20 eV/atom.

---

Entry 9:
Mn2TcW | PBE | optimized geometry

Lattice parameters (Å, degrees): 4.1649 3.0688 4.2588 90.00 90.45 90.00
Last column: nearest neighbours and their distance in Å.
Atoms (fractional coordinates):
Mn1 0.0000 0.0000 0.0000  4 W 2.59, 4 Mn 2.62
Mn2 0.0000 0.5000 0.5000  4 Tc 2.59, 4 Mn 2.62
Tc1 0.5000 0.0000 0.5000  4 Mn 2.59, 4 W 2.62
W1 0.5000 0.5000 0.0000  4 Mn 2.59, 4 Tc 2.62

As for the crystal system: monoclinic. The energy above the most stable polymorph in this dataset is 0.00 eV per formula unit. The value obtained for the energy is -10.35 eV/atom.

---

Entry 10:
MnTcW | PBE | optimized geometry

Lattice parameters (Å, degrees): 6.6240 6.4610 2.6782 81.63 74.80 23.58
Last column: nearest neighbours and their distance in Å.
Atoms (fractional coordinates):
Mn1 0.0000 0.0000 0.0000  2 Tc 2.55, 2 W 2.60, 4 Mn 2.68
Tc1 0.6589 0.6589 0.3411  2 Mn 2.55, 4 Tc 2.68, 2 W 2.73
W1 0.3361 0.3361 0.6639  2 Mn 2.60, 4 W 2.68, 2 Tc 2.73

As for the crystal system: orthorhombic. The energy above the most stable polymorph in this dataset is 0.07 eV per formula unit. The value obtained for the energy is -10.71 eV/atom.

---

Entry 11:
MnTc3W | PBE | optimized geometry

Lattice parameters (Å, degrees): 4.6454 4.6454 4.6454 90.00 90.00 90.00
Last column: nearest neighbours and their distance in Å.
Atoms (fractional coordinates):
Mn1 0.0000 0.0000 0.0000  12 Tc 3.28
Tc1 0.0000 0.5000 0.5000  2 W 2.32
Tc2 0.5000 0.0000 0.5000  2 W 2.32
Tc3 0.5000 0.5000 0.0000  2 W 2.32
W1 0.5000 0.5000 0.5000  6 Tc 2.32

As for the crystal system: cubic. The energy above the most stable polymorph in this dataset is 4.44 eV per formula unit. The value obtained for the energy is -8.47 eV/atom.

---

Entry 12:
Mn2TcW | PBE | optimized geometry

Lattice parameters (Å, degrees): 2.6418 2.6418 8.1510 90.00 90.00 105.93
Last column: nearest neighbours and their distance in Å.
Atoms (fractional coordinates):
Mn1 0.0000 0.0000 0.2452  2 Tc 2.55, 2 W 2.62, 4 Mn 2.64
Mn2 0.0000 0.0000 0.7548  2 Tc 2.55, 2 W 2.62, 4 Mn 2.64
Tc1 0.5000 0.5000 0.0000  4 Mn 2.55, 4 Tc 2.64
W1 0.5000 0.5000 0.5000  4 Mn 2.62, 4 W 2.64

As for the crystal system: orthorhombic. The energy above the most stable polymorph in this dataset is 0.30 eV per formula unit. The value obtained for the energy is -10.27 eV/atom.

---

Entry 13:
Mn2TcW | PBE | optimized geometry

Lattice parameters (Å, degrees): 2.6494 2.6494 8.1397 90.00 90.00 107.66
Last column: nearest neighbours and their distance in Å.
Atoms (fractional coordinates):
Mn1 0.0000 0.0000 0.0000  6 Mn 2.43-2.65, 2 Tc 2.53
Mn2 0.5000 0.5000 0.2280  6 Mn 2.43-2.65, 2 W 2.57
Tc1 0.5000 0.5000 0.7558  2 Mn 2.53, 4 Tc 2.65, 2 W 2.74
W1 0.0000 0.0000 0.4790  2 Mn 2.57, 4 W 2.65, 2 Tc 2.74

As for the crystal system: orthorhombic. The energy above the most stable polymorph in this dataset is 0.44 eV per formula unit. The value obtained for the energy is -10.24 eV/atom.

---

Entry 14:
MnTcW2 | PBE | optimized geometry

Lattice parameters (Å, degrees): 4.3443 4.3443 3.1177 90.00 90.00 90.00
Last column: nearest neighbours and their distance in Å.
Atoms (fractional coordinates):
Mn1 0.0000 0.0000 0.0000  8 W 2.67
Tc1 0.5000 0.5000 0.0000  8 W 2.67
W1 0.0000 0.5000 0.5000  4 Mn 2.67, 4 Tc 2.67
W2 0.5000 0.0000 0.5000  4 Mn 2.67, 4 Tc 2.67

As for the crystal system: tetragonal. The energy above the most stable polymorph in this dataset is 0.21 eV per formula unit. The value obtained for the energy is -11.23 eV/atom.

---

Entry 15:
MnTcW2 | PBE | optimized geometry

Lattice parameters (Å, degrees): 4.3470 4.3470 4.3470 60.00 60.00 60.00
Last column: nearest neighbours and their distance in Å.
Atoms (fractional coordinates):
Mn1 0.0000 0.0000 0.0000  8 W 2.66
Tc1 0.5000 0.5000 0.5000  8 W 2.66
W1 0.2500 0.2500 0.2500  4 Mn 2.66, 4 Tc 2.66
W2 0.7500 0.7500 0.7500  4 Tc 2.66, 4 Mn 2.66

As for the crystal system: cubic. The energy above the most stable polymorph in this dataset is 0.26 eV per formula unit. The value obtained for the energy is -11.22 eV/atom.